# PBE Li7Mn2N3, relaxed
data_Li7Mn2N3
_cell_length_a 6.4624
_cell_length_b 6.4624
_cell_length_c 3.8088
_cell_angle_alpha 90.00
_cell_angle_beta 90.00
_cell_angle_gamma 120.00
_symmetry_space_group_name_H-M 'P 6/m m m'
_symmetry_Int_Tables_number 191
_symmetry_space_group_name_Hall '-P 6 2'
loop_
_atom_site_label
_atom_site_type_symbol
_atom_site_fract_x
_atom_site_fract_y
_atom_site_fract_z
Li1 Li 0.0000 0.0000 0.0000
Li2 Li 0.0000 0.3278 0.5000
Mn1 Mn 0.3333 0.6667 0.0000
N1 N 0.0000 0.0000 0.5000
N2 N 0.3333 0.6667 0.5000
# formation energy (no corrections): -277 meV per atom


# PBE CaNd2Sn9, relaxed
data_CaNd2Sn9
_cell_length_a 4.840
_cell_length_b 4.840
_cell_length_c 13.919
_cell_angle_alpha 90.00
_cell_angle_beta 90.00
_cell_angle_gamma 90.00
_symmetry_space_group_name_H-M 'P 4/m m m'
_symmetry_Int_Tables_number 123
_symmetry_space_group_name_Hall '-P 4 2'
loop_
_atom_site_label
_atom_site_type_symbol
_atom_site_fract_x
_atom_site_fract_y
_atom_site_fract_z
Ca1 Ca 0.000 0.000 0.000
Nd1 Nd 0.000 0.000 0.336
Sn1 Sn 0.000 0.500 0.165
Sn2 Sn 0.000 0.500 0.500
Sn3 Sn 0.500 0.500 0.000
Sn4 Sn 0.500 0.500 0.332
# E_form: -5.5 eV/f.u.